(1)
# PaCu2BiO8 (PBE, optimized geometry)
# E: -6.381 eV per atom
# crystal system: tetragonal
# energy relative to the elements, uncorrected: -1278 meV/atom
data_PaCu2BiO8
_symmetry_space_group_name_H-M 'I -4 m 2'
_symmetry_Int_Tables_number 119
_symmetry_space_group_name_Hall 'I -4 -2'
_cell_length_a 6.9279
_cell_length_b 6.9279
_cell_length_c 6.7461
_cell_angle_alpha 90.00
_cell_angle_beta 90.00
_cell_angle_gamma 90.00
loop_
_atom_site_label
_atom_site_fract_x
_atom_site_fract_y
_atom_site_fract_z
Pa1 0.0000 0.0000 0.0000
Cu1 0.0000 0.0000 0.5000
Cu2 0.0000 0.5000 0.7500
Bi1 0.0000 0.5000 0.2500
O1 0.0000 0.1801 0.2945
O2 0.0000 0.3175 0.9533

(2)
# Pa3Cu4BiO12 (PBE, optimized geometry)
# E: -7.501 eV per atom
# crystal system: trigonal
# energy relative to the elements, uncorrected: -2088 meV/atom
data_Pa3Cu4BiO12
_symmetry_space_group_name_H-M 'R 3 2'
_symmetry_Int_Tables_number 155
_symmetry_space_group_name_Hall 'R 3 2"'
_cell_length_a 11.2314
_cell_length_b 11.2314
_cell_length_c 8.3034
_cell_angle_alpha 90.00
_cell_angle_beta 90.00
_cell_angle_gamma 120.00
loop_
_atom_site_label
_atom_site_fract_x
_atom_site_fract_y
_atom_site_fract_z
Pa1 0.0000 0.5524 0.0000
Cu1 0.0000 0.0000 0.5000
Cu2 0.0000 0.4244 0.5000
Bi1 0.0000 0.0000 0.0000
O1 0.0000 0.6056 0.5000
O2 0.0000 0.8344 0.5000
O3 0.0439 0.1921 0.1828